Entry 1:
Compound: InSn2IrI
Source: Alexandria via LeMat-Bulk
Functional: PBE-GGA
Structure: relaxed

Computed properties:
The calculated total energy is -4.410 eV/atom. As for the space group: P4/mmm (123). Its energy relative to the elements, uncorrected is -0.179 eV per atom.

```
InSn2IrI
1.0
5.210 0.000 0.000
0.000 5.210 0.000
0.000 0.000 5.306
In Sn Ir I
1 2 1 1
direct
0.000 0.000 0.000 In
0.000 0.500 0.500 Sn
0.500 0.000 0.500 Sn
0.000 0.000 0.500 Ir
0.500 0.500 0.000 I
```

Entry 2:
Compound: SrIn2IrI
Source: Alexandria via LeMat-Bulk
Functional: PBE-GGA
Structure: relaxed

Computed properties:
The calculated total energy is -4.069 eV/atom. As for the space group: P4/mmm (123). Its energy relative to the elements, uncorrected is -0.555 eV per atom. As for the offset from the most stable computed form: 0.000 eV per atom.

```
SrIn2IrI
1.0
5.202 0.000 0.000
0.000 5.202 0.000
0.000 0.000 5.951
Sr In Ir I
1 2 1 1
direct
0.000 0.000 0.000 Sr
0.000 0.500 0.500 In
0.500 0.000 0.500 In
0.000 0.000 0.500 Ir
0.500 0.500 0.000 I
```

Entry 3:
Compound: SrIn2IrI
Source: Alexandria via LeMat-Bulk
Functional: PBE-GGA
Structure: relaxed

Computed properties:
The calculated total energy is -2.602 eV/atom. As for the space group: P4/mmm (123). Its energy relative to the elements, uncorrected is 0.912 eV per atom. As for the offset from the most stable computed form: 1.467 eV per atom.

```
SrIn2IrI
1.0
6.508 0.000 0.000
0.000 6.508 0.000
0.000 0.000 5.036
Sr In Ir I
1 2 1 1
direct
0.000 0.000 0.000 Sr
0.000 0.500 0.000 In
0.500 0.000 0.000 In
0.000 0.000 0.500 Ir
0.500 0.500 0.500 I
```

Entry 4:
Compound: InTeIrI2
Source: Alexandria via LeMat-Bulk
Functional: PBE-GGA
Structure: relaxed

Computed properties:
The calculated total energy is -2.483 eV/atom. As for the space group: P4/mmm (123). Its energy relative to the elements, uncorrected is 1.085 eV per atom. As for the offset from the most stable computed form: 0.925 eV per atom.

```
InTeIrI2
1.0
5.993 0.000 0.000
0.000 5.993 0.000
0.000 0.000 5.243
In Te Ir I
1 1 1 2
direct
0.000 0.000 0.000 In
0.500 0.500 0.500 Te
0.000 0.000 0.500 Ir
0.000 0.500 0.000 I
0.500 0.000 0.000 I
```

Entry 5:
Compound: InTeIrI2
Source: Alexandria via LeMat-Bulk
Functional: PBE-GGA
Structure: relaxed

Computed properties:
The calculated total energy is -3.408 eV/atom. As for the space group: P4/mmm (123). Its energy relative to the elements, uncorrected is 0.160 eV per atom. As for the offset from the most stable computed form: 0.000 eV per atom.

```
InTeIrI2
1.0
5.719 0.000 0.000
0.000 5.719 0.000
0.000 0.000 5.078
In Te Ir I
1 1 1 2
direct
0.000 0.000 0.000 In
0.500 0.500 0.000 Te
0.500 0.500 0.500 Ir
0.000 0.500 0.500 I
0.500 0.000 0.500 I
```

Entry 6:
Compound: TlIn2IrI
Source: Alexandria via LeMat-Bulk
Functional: PBE-GGA
Structure: relaxed

Computed properties:
The calculated total energy is -3.902 eV/atom. As for the space group: P4/mmm (123). Its energy relative to the elements, uncorrected is -0.251 eV per atom.

```
TlIn2IrI
1.0
5.284 0.000 0.000
0.000 5.284 0.000
0.000 0.000 5.399
Tl In Ir I
1 2 1 1
direct
0.000 0.000 0.000 Tl
0.000 0.500 0.500 In
0.500 0.000 0.500 In
0.000 0.000 0.500 Ir
0.500 0.500 0.000 I
```

Entry 7:
Compound: Tl2InIrI
Source: Alexandria via LeMat-Bulk
Functional: PBE-GGA
Structure: relaxed

Computed properties:
The calculated total energy is -3.789 eV/atom. As for the space group: P4/mmm (123). Its energy relative to the elements, uncorrected is -0.212 eV per atom.

```
Tl2InIrI
1.0
5.397 0.000 0.000
0.000 5.397 0.000
0.000 0.000 5.286
Tl In Ir I
2 1 1 1
direct
0.000 0.500 0.000 Tl
0.500 0.000 0.000 Tl
0.000 0.000 0.500 In
0.000 0.000 0.000 Ir
0.500 0.500 0.500 I
```

Entry 8:
Compound: KIn6I8
Source: Alexandria via LeMat-Bulk
Functional: PBE-GGA
Structure: relaxed

Computed properties:
The calculated total energy is -2.513 eV/atom. As for the space group: R-3 (148). Its energy relative to the elements, uncorrected is -0.518 eV per atom. As for the offset from the most stable computed form: 0.027 eV per atom.

```
KIn6I8
1.0
6.215 3.588 4.986
-6.215 3.588 4.986
0.000 -7.177 4.986
K In I
1 6 8
direct
0.000 0.000 0.000 K
0.231 0.572 0.404 In
0.404 0.231 0.572 In
0.428 0.596 0.769 In
0.572 0.404 0.231 In
0.596 0.769 0.428 In
0.769 0.428 0.596 In
0.089 0.368 0.728 I
0.235 0.235 0.235 I
0.272 0.911 0.632 I
0.368 0.728 0.089 I
0.632 0.272 0.911 I
0.728 0.089 0.368 I
0.765 0.765 0.765 I
0.911 0.632 0.272 I
```

Entry 9:
Compound: K2InI
Source: Alexandria via LeMat-Bulk
Functional: PBE-GGA
Structure: relaxed

Computed properties:
The calculated total energy is -2.062 eV/atom. As for the space group: I-42d (122). Its energy relative to the elements, uncorrected is -0.441 eV per atom. As for the offset from the most stable computed form: 0.000 eV per atom.

```
K2InI
1.0
-4.840 4.840 3.978
4.840 -4.840 3.978
4.840 4.840 -3.978
K In I
4 2 2
direct
0.102 0.625 0.977 K
0.375 0.352 0.477 K
0.648 0.125 0.023 K
0.875 0.898 0.523 K
0.250 0.750 0.500 In
0.500 0.500 0.000 In
0.000 0.000 0.000 I
0.750 0.250 0.500 I
```

Entry 10:
Compound: KIn3I8
Source: Alexandria via LeMat-Bulk
Functional: PBE-GGA
Structure: relaxed

Computed properties:
The calculated total energy is -2.472 eV/atom. As for the space group: C2/m (12). Its energy relative to the elements, uncorrected is -0.663 eV per atom.

```
KIn3I8
1.0
6.481 -4.499 0.000
6.481 4.499 0.000
-0.203 0.000 11.037
K In I
1 3 8
direct
0.000 0.000 0.000 K
0.000 0.000 0.500 In
0.380 0.380 0.247 In
0.620 0.620 0.753 In
0.242 0.736 0.743 I
0.264 0.264 0.452 I
0.264 0.758 0.257 I
0.279 0.279 0.026 I
0.721 0.721 0.974 I
0.736 0.242 0.743 I
0.736 0.736 0.548 I
0.758 0.264 0.257 I
```

Entry 11:
Compound: KInI4
Source: Alexandria via LeMat-Bulk
Functional: PBE-GGA
Structure: relaxed

Computed properties:
The calculated total energy is -2.518 eV/atom. As for the space group: P2_1/c (14). Its energy relative to the elements, uncorrected is -0.845 eV per atom. As for the offset from the most stable computed form: 0.000 eV per atom.

```
KInI4
1.0
9.203 0.000 0.000
0.000 11.692 0.000
-7.295 0.000 11.771
K In I
4 4 16
direct
0.195 0.183 0.331 K
0.195 0.317 0.831 K
0.805 0.683 0.169 K
0.805 0.817 0.669 K
0.348 0.679 0.219 In
0.348 0.821 0.719 In
0.652 0.179 0.281 In
0.652 0.321 0.781 In
0.145 0.628 0.664 I
0.145 0.872 0.164 I
0.203 0.522 0.292 I
0.203 0.978 0.792 I
0.313 0.221 0.117 I
0.313 0.279 0.617 I
0.349 0.615 0.027 I
0.349 0.885 0.527 I
0.651 0.115 0.473 I
0.651 0.385 0.973 I
0.687 0.721 0.383 I
0.687 0.779 0.883 I
0.797 0.022 0.208 I
0.797 0.478 0.708 I
0.855 0.128 0.836 I
0.855 0.372 0.336 I
```

Entry 12:
Compound: K3In4I8
Source: Alexandria via LeMat-Bulk
Functional: PBE-GGA
Structure: relaxed

Computed properties:
The calculated total energy is -2.622 eV/atom. As for the space group: C2/m (12). Its energy relative to the elements, uncorrected is -0.846 eV per atom.

```
K3In4I8
1.0
7.049 -7.052 0.000
7.049 7.052 0.000
-7.000 0.000 7.054
K In I
3 4 8
direct
0.000 0.000 0.000 K
0.000 0.500 0.500 K
0.500 0.000 0.500 K
0.000 0.500 0.000 In
0.500 0.000 0.000 In
0.500 0.500 0.000 In
0.500 0.500 0.500 In
0.251 0.749 0.000 I
0.272 0.728 0.500 I
0.273 0.273 0.044 I
0.275 0.275 0.502 I
0.725 0.725 0.498 I
0.727 0.727 0.956 I
0.728 0.272 0.500 I
0.749 0.251 0.000 I
```